Crystalline CoCuW2O at its relaxed geometry. Source: Alexandria via LeMat-Bulk, functional GGA+U.

a = 4.535 Å, b = 4.299 Å, c = 4.535 Å
α = 90.00°, β = 90.00°, γ = 90.00°
Site moments in Bohr magnetons follow the coordinates.
Fractional coordinates of all 5 atoms:
O  0.500  0.500  0.500  -0.02
Co  0.000  0.000  0.000  -0.32
Cu  0.000  0.500  0.000  0.07
W  0.000  0.000  0.500  1.65
W  0.500  0.000  0.000  1.79

Results
VASP energy ... -19.345 eV for the cell shown
SG ... No. 123
Volume ... 17.68 Å³/atom